1.
The following is a PBE calculation of a relaxed structure of BaYP2Pt, from Alexandria via LeMat-Bulk.

It has space group P4/mmm (No. 123), with a = 5.2828 Å, b = 5.2828 Å, c = 5.3341 Å, α = 90.00°, β = 90.00° and γ = 90.00°. The asymmetric unit holds Ba at (0.0000, 0.0000, 0.0000), Y at (0.5000, 0.5000, 0.5000), P at (0.0000, 0.5000, 0.5000) and Pt at (0.5000, 0.5000, 0.0000).

As for the total moment: 0.000 μB/atom. As for the energy of formation: -26.5 kJ/mol of atoms. The calculation puts the density of states at the Fermi level at 1.36 states/eV/atom. The calculation puts the theoretical density at 5.4 g/cm3.



2.
The following is a PBE calculation of a relaxed structure of Ac6Te3AsPb2, from Alexandria via LeMat-Bulk.

It has space group C2/m (No. 12), with a = 20.7802 Å, b = 4.7753 Å, c = 9.5358 Å, α = 90.00°, β = 103.24° and γ = 90.00°. The asymmetric unit holds Ac at (0.0017, 0.0000, 0.2328), Ac at (0.1594, 0.5000, 0.0845), Ac at (0.1684, 0.5000, 0.5768), Te at (0.0000, 0.5000, 0.5000), Te at (0.1672, 0.0000, 0.8336), As at (0.0000, 0.5000, 0.0000) and Pb at (0.1655, 0.0000, 0.3299).

As for the total moment: 0.000 μB/atom. The energy relative to the elements, uncorrected comes out at -14.6 eV/f.u. The calculation puts the density of states at the Fermi level at 0.23 states/eV/atom. The calculation puts the theoretical density at 8.1 g/cm3.



3.
The following is a PBE calculation of a relaxed structure of YPOF2, from Alexandria via LeMat-Bulk.

It has space group P4/mmm (No. 123), with a = 4.3510 Å, b = 4.3510 Å, c = 4.5733 Å, α = 90.00°, β = 90.00° and γ = 90.00°. The asymmetric unit holds Y at (0.0000, 0.0000, 0.0000), P at (0.5000, 0.5000, 0.5000), O at (0.0000, 0.0000, 0.5000) and F at (0.0000, 0.5000, 0.0000).

As for the total moment: 0.400 μB/atom. The energy relative to the elements, uncorrected comes out at -9.9 eV/f.u. The calculation puts the density of states at the Fermi level at 0.25 states/eV/atom. The calculation puts the theoretical density at 3.3 g/cm3.



4.
The following is a PBE calculation of a relaxed structure of Cu2BiMoI, from Alexandria via LeMat-Bulk.

It has space group P4/mmm (No. 123), with a = 4.9371 Å, b = 4.9371 Å, c = 5.3698 Å, α = 90.00°, β = 90.00° and γ = 90.00°. The asymmetric unit holds Cu at (0.0000, 0.5000, 0.0000), Bi at (0.0000, 0.0000, 0.5000), Mo at (0.0000, 0.0000, 0.0000) and I at (0.5000, 0.5000, 0.5000).

As for the total moment: 0.000 μB/atom. The energy relative to the elements, uncorrected comes out at 5.5 eV/f.u. The calculation puts the density of states at the Fermi level at 1.08 states/eV/atom. The calculation puts the theoretical density at 7.1 g/cm3.



5.
The following is a PBE calculation of a relaxed structure of Gd3PuRu, from Alexandria via LeMat-Bulk.

It has space group Pm-3m (No. 221), with a = 5.3999 Å, b = 5.3999 Å, c = 5.3999 Å, α = 90.00°, β = 90.00° and γ = 90.00°. The asymmetric unit holds Gd at (0.0000, 0.0000, 0.5000), Pu at (0.5000, 0.5000, 0.5000) and Ru at (0.0000, 0.0000, 0.0000).

As for the total moment: 5.644 μB/atom. As for the energy of formation: 4.4 kJ/mol of atoms. The calculation puts the density of states at the Fermi level at 2.61 states/eV/atom. The calculation puts the theoretical density at 8.6 g/cm3.



6.
The following is a PBE calculation of a relaxed structure of LaCr2Br, from Alexandria via LeMat-Bulk.

It has space group Pm (No. 6), with a = 3.4489 Å, b = 3.4133 Å, c = 7.9592 Å, α = 90.00°, β = 102.43° and γ = 90.00°. The asymmetric unit holds La at (0.0000, 0.0000, 0.0000), Cr at (0.2054, 0.0000, 0.4122), Cr at (0.6435, 0.5000, 0.2879) and Br at (0.3655, 0.5000, 0.7285).

As for the total moment: 0.097 μB/atom. The energy relative to the elements, uncorrected comes out at 0.1 eV/f.u. The calculation puts the density of states at the Fermi level at 0.75 states/eV/atom. The calculation puts the theoretical density at 5.9 g/cm3.



7.
The following is a PBE calculation of a relaxed structure of Na3TlPb3, from Alexandria via LeMat-Bulk.

It has space group P6_3/m (No. 176), with a = 9.2488 Å, b = 9.2488 Å, c = 5.5604 Å, α = 90.00°, β = 90.00° and γ = 120.00°. The asymmetric unit holds Na at (0.0941, 0.4709, 0.2500), Tl at (0.3333, 0.6667, 0.7500) and Pb at (0.0505, 0.2402, 0.7500).

As for the total moment: 0.000 μB/atom. As for the energy of formation: -9.8 kJ/mol of atoms. The calculation puts the density of states at the Fermi level at 0.41 states/eV/atom. The calculation puts the theoretical density at 7.2 g/cm3.



8.
The following is a PBE calculation of a relaxed structure of NdDyPdAu, from Alexandria via LeMat-Bulk.

It has space group Amm2 (No. 38), with a = 4.7461 Å, b = 3.8312 Å, c = 10.7724 Å, α = 90.00°, β = 90.00° and γ = 90.00°. The asymmetric unit holds Nd at (0.0000, 0.0000, 0.0000), Dy at (0.5000, 0.0000, 0.7242), Pd at (0.0000, 0.0000, 0.2733) and Au at (0.5000, 0.0000, 0.4433).

As for the total moment: 0.000 μB/atom. As for the energy of formation: -81.8 kJ/mol of atoms. The calculation puts the density of states at the Fermi level at 0.58 states/eV/atom. The calculation puts the theoretical density at 10.3 g/cm3.



9.
The following is a PBE calculation of a relaxed structure of Nd6DyY2Tm, from Alexandria via LeMat-Bulk.

It has space group C2/c (No. 15), with a = 9.3436 Å, b = 15.3535 Å, c = 9.5775 Å, α = 90.00°, β = 96.47° and γ = 90.00°. The asymmetric unit holds Nd at (0.0589, 0.1764, 0.4440), Nd at (0.0965, 0.3882, 0.6161), Nd at (0.2148, 0.2217, 0.8105), Dy at (0.0000, 0.0300, 0.7500), Y at (0.2492, 0.4521, 0.9524) and Tm at (0.0000, 0.4123, 0.2500).

As for the total moment: 0.000 μB/atom. As for the energy of formation: 11.4 kJ/mol of atoms. The calculation puts the density of states at the Fermi level at 1.46 states/eV/atom. The calculation puts the theoretical density at 6.7 g/cm3.



10.
The following is a PBE calculation of a relaxed structure of YMg2Sn3, from Alexandria via LeMat-Bulk.

It has space group Cmmm (No. 65), with a = 4.6827 Å, b = 14.4622 Å, c = 4.3563 Å, α = 90.00°, β = 90.00° and γ = 90.00°. The asymmetric unit holds Y at (0.0000, 0.0000, 0.0000), Mg at (0.0000, 0.3301, 0.0000), Sn at (0.0000, 0.1696, 0.5000) and Sn at (0.0000, 0.5000, 0.5000).

As for the total moment: 0.000 μB/atom. As for the energy of formation: -35.8 kJ/mol of atoms. The calculation puts the density of states at the Fermi level at 0.34 states/eV/atom. The calculation puts the theoretical density at 5.6 g/cm3.



11.
The following is a PBE calculation of a relaxed structure of TbDyThPa, from Alexandria via LeMat-Bulk.

It has space group F-43m (No. 216), with a = 7.8465 Å, b = 7.8465 Å, c = 7.8465 Å, α = 90.00°, β = 90.00° and γ = 90.00°. The asymmetric unit holds Tb at (0.0000, 0.0000, 0.0000), Dy at (0.2500, 0.2500, 0.2500), Th at (0.2500, 0.2500, 0.7500) and Pa at (0.0000, 0.0000, 0.5000).

As for the total moment: 0.367 μB/atom. As for the energy of formation: 34.9 kJ/mol of atoms. The calculation puts the density of states at the Fermi level at 3.19 states/eV/atom. The calculation puts the theoretical density at 10.8 g/cm3.



12.
The following is a PBE calculation of a relaxed structure of NiP2, from Alexandria via LeMat-Bulk.

It has space group C2/c (No. 15), with a = 6.4890 Å, b = 5.6086 Å, c = 5.6275 Å, α = 90.00°, β = 119.45° and γ = 90.00°. The asymmetric unit holds Ni at (0.2500, 0.2500, 0.0000) and P at (0.1959, 0.1149, 0.3334).

As for the total moment: 0.000 μB/atom. As for the energy of formation: -34.6 kJ/mol of atoms. The calculation puts the theoretical density at 4.5 g/cm3.